Below is crystalline LiGa2Ag2 at its relaxed geometry, with properties calculated at the PBE level.

Output
* SG: P4/mbm (127)
* polymorph energy (0 for the lowest one): 0.091 eV/atom
* formation energy from the elements: -35 kJ/mol of formula units

Geometry as CIF:
```
data_LiGa2Ag2
_chemical_formula_sum 'Li2 Ga4 Ag4'
_cell_length_a 7.735
_cell_length_b 7.735
_cell_length_c 3.069
_cell_angle_alpha 90.00
_cell_angle_beta 90.00
_cell_angle_gamma 90.00
_space_group_name_H-M_alt 'P 1'
_space_group_IT_number 1
loop_
_space_group_symop_operation_xyz
'x,y,z'
loop_
_atom_site_label
_atom_site_type_symbol
_atom_site_fract_x
_atom_site_fract_y
_atom_site_fract_z
Ag1 Ag 0.638 0.138 0.000
Ag2 Ag 0.362 0.862 0.000
Ag3 Ag 0.138 0.362 0.000
Ag4 Ag 0.862 0.638 0.000
Ga1 Ga 0.662 0.838 0.500
Ga2 Ga 0.838 0.338 0.500
Ga3 Ga 0.338 0.162 0.500
Ga4 Ga 0.162 0.662 0.500
Li1 Li 0.500 0.500 0.000
Li2 Li 0.000 0.000 0.000
```

Below is crystalline CsIn2Si2 at its relaxed geometry, with properties calculated at the PBE level.

Output
* SG: I4/mmm (139)
* polymorph energy (0 for the lowest one): 0.000 eV/atom

Geometry as CIF:
```
data_CsIn2Si2
_chemical_formula_sum 'Cs1 In2 Si2'
_cell_length_a 6.297
_cell_length_b 6.297
_cell_length_c 6.297
_cell_angle_alpha 132.01
_cell_angle_beta 132.01
_cell_angle_gamma 70.21
_space_group_name_H-M_alt 'P 1'
_space_group_IT_number 1
loop_
_space_group_symop_operation_xyz
'x,y,z'
loop_
_atom_site_label
_atom_site_type_symbol
_atom_site_fract_x
_atom_site_fract_y
_atom_site_fract_z
In1 In 0.750 0.250 0.500
In2 In 0.250 0.750 0.500
Si1 Si 0.619 0.619 0.000
Si2 Si 0.381 0.381 0.000
Cs1 Cs 0.000 0.000 0.000
```

Number 1: volume 18.36 Å³/atom. Number 2: volume 27.02 Å³/atom.